PBE-GGA Li2UCl8, relaxed; excess energy over the best structure of this formula in the dataset = 0 kJ/mol of formula units; ΔE_f (raw) = -1.48 eV per atom; D(E_F) = 0.4201 states/eV per atom
1.0
5.911 -0.330 0.337
0.215 7.469 1.273
-0.566 -0.083 7.558
Cl Li U
8 2 1
direct
0.283 0.607 0.607
0.717 0.393 0.393
0.768 0.910 0.267
0.232 0.090 0.733
0.768 0.267 0.910
0.250 0.177 0.177
0.750 0.823 0.823
0.232 0.733 0.090
0.329 0.412 0.412
0.671 0.588 0.588
0.000 0.000 0.000